! GGA-PBE Hf2NiPt, relaxed; values from VASP
&SYSTEM
  ibrav = 0, nat = 8, ntyp = 3
/
ATOMIC_SPECIES
Hf 178.49 Hf.upf
Pt 195.08 Pt.upf
Ni 58.69 Ni.upf
CELL_PARAMETERS angstrom
4.254 0.000 0.000
0.000 4.254 0.000
2.127 2.127 8.653
ATOMIC_POSITIONS angstrom
Hf 1.089 3.190 2.163
Hf 5.317 5.292 6.490
Hf 3.165 1.063 2.163
Hf 3.190 3.215 6.490
Pt 0.000 0.000 0.000
Pt 4.254 2.127 4.327
Ni 2.127 4.254 4.327
Ni 2.127 2.127 0.000
! Raw total energy ... -7.95 eV/atom
! DOS at the Fermi energy ... 3.1 states/eV/f.u.
! Formation enthalpy at 0 K ... -0.016 eV per atom
! Total moment ... 0.00 μB/cell
! Space group ... I-42d, No. 122